VASP calculation (GGA-PBE) on a geometry-optimized Tb2NpPbO8 structure.

Properties
**VASP energy**: -8.077 eV per atom
**Crystal system**: orthorhombic
**Total moment**: 1.01 Bohr magnetons per cell
**Space group**: Cmmm

abc: 5.076 5.076 7.040
angles: 90.00 90.00 92.64
Element x y z (fractional)
Tb 0.000 0.000 0.250
Tb 0.000 0.000 0.750
Np 0.500 0.500 0.000
Pb 0.500 0.500 0.500
O 0.203 0.203 0.500
O 0.209 0.209 0.000
O 0.314 0.686 0.230
O 0.314 0.686 0.770
O 0.686 0.314 0.230
O 0.686 0.314 0.770
O 0.791 0.791 0.000
O 0.797 0.797 0.500

***

VASP calculation (GGA-PBE) on a geometry-optimized Ti2AgSnH structure.

Properties
**Crystal system**: tetragonal
**Energy relative to the lowest polymorph listed for this composition**: 0 meV per atom
**Total moment**: 0.00 Bohr magnetons per cell
**Space group**: P4/mmm

abc: 4.100 4.100 4.381
angles: 90.00 90.00 90.00
Element x y z (fractional)
Ti 0.000 0.500 0.000
Ti 0.500 0.000 0.000
Ag 0.000 0.000 0.500
Sn 0.500 0.500 0.500
H 0.000 0.000 0.000

***

VASP calculation (GGA-PBE) on a geometry-optimized HfBeMo3 structure.

Properties
**Crystal system**: cubic
**Total moment**: 0.00 Bohr magnetons per cell
**Energy of formation from the pure elements**: 219.7 kJ/mol of atoms
**Space group**: Pm-3m

abc: 4.763 4.763 4.763
angles: 90.00 90.00 90.00
Element x y z (fractional)
Hf 0.000 0.000 0.000
Be 0.500 0.500 0.500
Mo 0.000 0.000 0.500
Mo 0.000 0.500 0.000
Mo 0.500 0.000 0.000

***

Among the records above, which one has the highest total moment?
Tb2NpPbO8